15
Lattice="7.180 -4.148 0.000 7.180 4.148 0.000 -4.788 0.000 6.848" Properties=species:S:1:pos:R:3 comment="Ca3Sm3CuSe8 PBE-GGA relaxed" space_group="C2/m (12)" n_ef_per_ev_cell=6.02 formation_energy_uncorrected_ev_per_atom=-1.64 pbc="T T T"
Ca 0.000 0.000 0.000
Ca 3.590 2.074 0.000
Ca 3.590 -2.074 0.000
Sm 1.196 2.074 3.424
Sm 1.196 -2.074 3.424
Sm 4.786 0.000 3.424
Cu -2.394 0.000 3.424
Se -0.089 0.000 5.030
Se 3.627 2.140 5.037
Se 5.944 2.140 1.811
Se 2.393 0.000 1.716
Se 7.179 0.000 5.133
Se 3.627 -2.140 5.037
Se 5.944 -2.140 1.811
Se 9.660 0.000 1.819